The following is a meta-GGA SCAN calculation of AlTlTe at its PBEsol-relaxed geometry, from Alexandria.

Cell and atoms, written as POSCAR:
```
AlTlTe
1.0
-0.7272 -0.2084 3.9614
-2.8782 -1.0191 -2.6349
1.8893 -5.4865 0.0582
Te Tl Al
1 1 1
direct
0.3333 0.6667 0.7193
0.6667 0.3333 0.3063
0.0000 0.0000 0.9745
```

## Properties
As for the density of states at the Fermi level: 1.0 states/eV/cell. As for the relative energy among the computed polymorphs: 0 meV per atom. Its total energy is -39.232 eV/atom. The raw formation energy comes out at -0.1118 eV per atom.